No. 1
Here is a relaxed structure of NbTlCo2F from Alexandria. Energies are from PBEsol.

a = 4.2676 Å, b = 4.7400 Å, c = 4.7400 Å
α = 90.00°, β = 90.00°, γ = 90.00°
Closest atoms and distances in Å follow each position.
Positions (direct):
F1 0.5000 0.0000 0.0000  2 Tl 2.13
Nb1 0.5000 0.5000 0.5000  8 Co 3.19, 4 F 3.35
Co1 0.0000 0.5000 0.0000  2 Tl 2.37
Tl1 0.0000 0.0000 0.0000  2 F 2.13, 4 Co 2.37
Co2 0.0000 0.0000 0.5000  2 Tl 2.37

Results
Energy relative to the elements, uncorrected: 1.2865 eV/atom
Calculated density: 7.5 g/cm3
Final energy: -24.4 eV for the cell shown


No. 2
Here is a relaxed structure of RbCoNiF6 from Alexandria. Energies are from PBEsol.

a = 7.0057 Å, b = 7.0057 Å, c = 7.0057 Å
α = 90.30°, β = 60.24°, γ = 120.59°
Closest atoms and distances in Å follow each position.
Positions (direct):
F1 0.7692 0.8344 0.3145  1 Co 1.84, 1 Ni 1.96
Co1 0.0000 0.0000 0.0000  6 F 1.84-1.85
F2 0.2308 0.1656 0.6855  1 Co 1.84, 1 Ni 1.96
F3 0.1489 0.8344 0.9348  1 Co 1.84, 1 Ni 1.96
Ni1 0.0000 0.5000 0.0000  6 F 1.95-1.96
F4 0.2500 0.1853 0.0647  2 Co 1.85
F5 0.8511 0.1656 0.0652  1 Co 1.84, 1 Ni 1.96
Ni2 0.5000 0.5000 0.5000  6 F 1.95-1.96
F6 0.7500 0.4156 0.3344  2 Ni 1.95
F7 0.7500 0.8147 0.9353  2 Co 1.85
F8 0.7308 0.4163 0.9348  1 Co 1.84, 1 Ni 1.96
Rb1 0.7500 0.1248 0.6252  6 F 2.89-3.08
F9 0.3511 0.4163 0.3145  1 Co 1.84, 1 Ni 1.96
F10 0.2500 0.5844 0.6656  2 Ni 1.95
Rb2 0.2500 0.8752 0.3748  6 F 2.89-3.08
F11 0.2692 0.5837 0.0652  1 Co 1.84, 1 Ni 1.96
Co2 0.5000 0.5000 0.0000  6 F 1.84-1.85
F12 0.6489 0.5837 0.6855  1 Co 1.84, 1 Ni 1.96

Results
Energy relative to the elements, uncorrected: -2.0184 eV/atom
Calculated density: 4.3 g/cm3
Final energy: -89.3 eV for the cell shown


No. 3
Here is a relaxed structure of Co2OF3 from Alexandria. Energies are from PBEsol.

a = 4.5792 Å, b = 4.5792 Å, c = 5.9155 Å
α = 90.00°, β = 90.00°, γ = 93.45°
Closest atoms and distances in Å follow each position.
Positions (direct):
F1 0.7044 0.2956 0.0000  3 Co 1.97-2.03
Co1 0.0000 0.0000 0.0000  2 O 1.84, 4 F 1.97-2.03
Co2 0.5387 0.5387 0.2500  1 O 1.80, 1 F 1.99
O1 0.8262 0.8262 0.2500  3 Co 1.80-1.84
F2 0.2956 0.7044 0.5000  3 Co 1.97-2.03
F3 0.2210 0.2210 0.2500  3 Co 1.99-2.03
O2 0.1738 0.1738 0.7500  3 Co 1.80-1.84
Co3 0.4613 0.4613 0.7500  1 O 1.80, 1 F 1.99
Co4 0.0000 0.0000 0.5000  2 O 1.84, 4 F 1.97-2.03
F4 0.2956 0.7044 0.0000  3 Co 1.97-2.03
F5 0.7044 0.2956 0.5000  3 Co 1.97-2.03
F6 0.7790 0.7790 0.7500  3 Co 1.99-2.03

Results
Polymorph energy (0 for the lowest one): 4 meV per atom
Energy relative to the elements, uncorrected: -1.4628 eV/atom
Calculated density: 5.1 g/cm3
Final energy: -70.6 eV for the cell shown


No. 4
Here is a relaxed structure of Co6OF11 from Alexandria. Energies are from PBEsol.

a = 5.5510 Å, b = 5.5510 Å, c = 7.3272 Å
α = 71.14°, β = 71.14°, γ = 71.94°
Closest atoms and distances in Å follow each position.
Positions (direct):
Co1 0.9779 0.0221 0.0000  1 O 1.76, 1 F 1.94
Co2 0.3334 0.3251 0.6659  6 F 1.98-2.02
F1 0.2749 0.7251 0.0000  3 Co 1.94-2.02
F2 0.5642 0.5596 0.6348  3 Co 2.01-2.03
F3 0.0952 0.0971 0.6974  3 Co 1.96-2.04
F4 0.3743 0.9725 0.3312  3 Co 1.98-2.07
F5 0.0275 0.6257 0.6688  3 Co 1.98-2.07
F6 0.7608 0.7712 0.0359  3 Co 2.00-2.02
F7 0.4404 0.4358 0.3652  3 Co 2.01-2.03
F8 0.9861 0.3678 0.3270  3 Co 1.99-2.06
Co3 0.6749 0.6666 0.3341  6 F 1.98-2.02
F9 0.6322 0.0139 0.6730  3 Co 1.99-2.06
F10 0.2288 0.2392 0.9641  3 Co 2.00-2.02
O1 0.7076 0.2924 0.0000  3 Co 1.76-1.86
Co4 0.0037 0.9963 0.5000  6 F 1.96-2.03
F11 0.9029 0.9048 0.3026  3 Co 1.96-2.04
Co5 0.6544 0.6391 0.8529  1 O 1.86, 5 F 2.02-2.07
Co6 0.3609 0.3456 0.1471  1 O 1.86, 5 F 2.02-2.07

Results
Polymorph energy (0 for the lowest one): 0 meV per atom
Energy relative to the elements, uncorrected: -1.5699 eV/atom
Calculated density: 4.9 g/cm3
Final energy: -101.1 eV for the cell shown


No. 5
Here is a relaxed structure of Co6OF11 from Alexandria. Energies are from PBEsol.

a = 5.5463 Å, b = 5.5463 Å, c = 7.1701 Å
α = 72.54°, β = 72.54°, γ = 73.74°
Closest atoms and distances in Å follow each position.
Positions (direct):
F1 0.0381 0.6369 0.6697  3 Co 2.00-2.03
F2 0.1052 0.1052 0.6984  3 Co 2.00-2.03
Co1 0.9978 0.9978 0.4987  6 F 1.98-2.00
Co2 0.6402 0.6402 0.3421  1 O 1.87, 5 F 1.99-2.10
F3 0.5711 0.5711 0.6398  3 Co 1.94-2.00
F4 0.7675 0.7675 0.0394  3 Co 1.94-2.04
Co3 0.3469 0.3469 0.6375  1 O 1.88, 4 F 2.00-2.02
F5 0.6369 0.0381 0.6697  3 Co 2.00-2.03
Co4 0.0045 0.0045 0.0044  6 F 1.98-2.04
F6 0.2447 0.2447 0.9630  3 Co 1.96-2.16
Co5 0.3371 0.3371 0.1721  1 O 1.76, 1 F 1.96
F7 0.2998 0.7053 0.0024  3 Co 1.98-2.03
O1 0.4253 0.4253 0.3548  3 Co 1.76-1.88
F8 0.7053 0.2998 0.0024  3 Co 1.98-2.03
F9 0.8857 0.8857 0.3063  3 Co 1.98-2.10
Co6 0.6703 0.6703 0.8387  6 F 1.94-2.03
F10 0.9640 0.3597 0.3303  3 Co 2.00-2.03
F11 0.3597 0.9640 0.3303  3 Co 2.00-2.03

Results
Polymorph energy (0 for the lowest one): 4 meV per atom
Energy relative to the elements, uncorrected: -1.5655 eV/atom
Calculated density: 4.9 g/cm3
Final energy: -101.1 eV for the cell shown


No. 6
Here is a relaxed structure of Co2O3F from Alexandria. Energies are from PBEsol.

a = 4.3173 Å, b = 4.3173 Å, c = 11.4404 Å
α = 90.00°, β = 90.00°, γ = 93.02°
Closest atoms and distances in Å follow each position.
Positions (direct):
O1 0.3185 0.2892 0.7500  3 Co 1.81-1.85
O2 0.7108 0.6815 0.7500  3 Co 1.81-1.85
Co1 0.5270 0.4730 0.6251  5 O 1.80-1.85, 1 F 1.97
F1 0.7880 0.2120 0.1283  3 Co 1.97-1.98
O3 0.3044 0.3045 0.0000  3 Co 1.81-1.85
F2 0.2120 0.7880 0.6283  3 Co 1.97-1.98
O4 0.6956 0.6955 0.5000  3 Co 1.81-1.85
O5 0.1863 0.8137 0.3748  3 Co 1.80-1.85
Co2 0.0000 0.0000 0.5000  4 O 1.81-1.85, 2 F 1.98
O6 0.6815 0.7108 0.2500  3 Co 1.81-1.85
Co3 0.0108 0.9892 0.2500  4 O 1.80-1.81, 2 F 1.97
Co4 0.9892 0.0108 0.7500  4 O 1.80-1.81, 2 F 1.97
F3 0.7880 0.2120 0.3717  3 Co 1.97-1.98
F4 0.2120 0.7880 0.8717  3 Co 1.97-1.98
O7 0.2892 0.3185 0.2500  3 Co 1.81-1.85
Co5 0.0000 0.0000 0.0000  4 O 1.81-1.85, 2 F 1.98
Co6 0.5269 0.4731 0.8749  5 O 1.80-1.85, 1 F 1.97
O8 0.6955 0.6956 0.0000  3 Co 1.81-1.85
Co7 0.4731 0.5269 0.3749  5 O 1.80-1.85, 1 F 1.97
O9 0.3045 0.3044 0.5000  3 Co 1.81-1.85
Co8 0.4730 0.5270 0.1251  5 O 1.80-1.85, 1 F 1.97
O10 0.8138 0.1862 0.6252  3 Co 1.80-1.85
O11 0.8137 0.1863 0.8748  3 Co 1.80-1.85
O12 0.1862 0.8138 0.1252  3 Co 1.80-1.85

Results
Polymorph energy (0 for the lowest one): 0 meV per atom
Energy relative to the elements, uncorrected: -1.1583 eV/atom
Calculated density: 5.8 g/cm3
Final energy: -160.4 eV for the cell shown


No. 7
Here is a relaxed structure of Co2OF3 from Alexandria. Energies are from PBEsol.

a = 5.4474 Å, b = 5.4474 Å, c = 5.4474 Å
α = 104.86°, β = 109.45°, γ = 114.24°
Closest atoms and distances in Å follow each position.
Positions (direct):
F1 0.0000 0.7043 0.2043  3 Co 1.96-2.02
F2 0.5000 0.2043 0.2043  3 Co 1.96-2.02
F3 0.5000 0.7957 0.7957  3 Co 1.96-2.02
F4 0.0283 0.2500 0.2783  3 Co 2.01-2.03
Co1 0.0000 0.0000 0.5000  2 O 1.84, 4 F 1.96-2.03
F5 0.0000 0.2957 0.7957  3 Co 1.96-2.02
Co2 0.7096 0.2500 0.9596  1 O 1.80, 1 F 2.01
Co3 0.5000 0.5000 0.5000  2 O 1.84, 4 F 1.96-2.03
Co4 0.2904 0.7500 0.0404  1 O 1.80, 1 F 2.01
F6 0.9717 0.7500 0.7217  3 Co 2.01-2.03
O1 0.5772 0.7500 0.3272  3 Co 1.80-1.84
O2 0.4228 0.2500 0.6728  3 Co 1.80-1.84

Results
Polymorph energy (0 for the lowest one): 0 meV per atom
Energy relative to the elements, uncorrected: -1.4666 eV/atom
Calculated density: 5.1 g/cm3
Final energy: -70.6 eV for the cell shown


No. 8
Here is a relaxed structure of Co2OF3 from Alexandria. Energies are from PBEsol.

a = 5.3986 Å, b = 5.3986 Å, c = 8.8816 Å
α = 87.45°, β = 87.45°, γ = 72.80°
Closest atoms and distances in Å follow each position.
Positions (direct):
F1 0.2789 0.2789 0.5394  3 Co 1.93-2.03
O1 0.7831 0.2169 0.5000  3 Co 1.81-1.87
F2 0.0408 0.4311 0.2512  3 Co 1.96-2.09
O2 0.2152 0.2152 0.9753  3 Co 1.76-1.87
F3 0.5689 0.9592 0.7488  3 Co 1.96-2.09
Co1 0.5000 0.5000 0.5000  2 O 1.81, 2 F 1.93
O3 0.2169 0.7831 0.5000  3 Co 1.81-1.87
F4 0.0319 0.0319 0.7748  3 Co 1.99-2.00
F5 0.4311 0.0408 0.2512  3 Co 1.96-2.09
F6 0.3037 0.6963 0.0000  3 Co 1.95-2.03
F7 0.6963 0.3037 0.0000  3 Co 1.95-2.03
Co2 0.7381 0.7381 0.2313  1 O 1.86, 5 F 1.96-2.03
F8 0.5076 0.5076 0.2614  3 Co 1.93-2.12
Co3 0.2619 0.2619 0.7687  1 O 1.86, 5 F 1.96-2.03
F9 0.9681 0.9681 0.2252  3 Co 1.99-2.00
Co4 0.3525 0.3525 0.1137  1 O 1.76, 1 F 1.93
F10 0.9592 0.5689 0.7488  3 Co 1.96-2.09
Co5 0.8948 0.8948 0.6024  2 O 1.87, 4 F 1.99-2.09
Co6 0.1052 0.1052 0.3976  2 O 1.87, 4 F 1.99-2.09
F11 0.4924 0.4924 0.7386  3 Co 1.93-2.12
Co7 0.6475 0.6475 0.8863  1 O 1.76, 1 F 1.93
O4 0.7848 0.7848 0.0247  3 Co 1.76-1.87
F12 0.7211 0.7211 0.4606  3 Co 1.93-2.03
Co8 0.0000 0.0000 0.0000  2 O 1.87, 4 F 1.95-2.00

Results
Polymorph energy (0 for the lowest one): 15 meV per atom
Energy relative to the elements, uncorrected: -1.4521 eV/atom
Calculated density: 5.1 g/cm3
Final energy: -140.9 eV for the cell shown


No. 9
Here is a relaxed structure of Co2O3F from Alexandria. Energies are from PBEsol.

a = 5.7457 Å, b = 6.6077 Å, c = 6.2545 Å
α = 90.00°, β = 90.00°, γ = 115.77°
Closest atoms and distances in Å follow each position.
Positions (direct):
O1 0.9730 0.4461 0.2500  3 Co 1.82-1.85
O2 0.0270 0.5539 0.7500  3 Co 1.82-1.85
F1 0.8734 0.7468 0.4671  3 Co 1.94-1.98
F2 0.6266 0.2532 0.9671  3 Co 1.94-1.98
Co1 0.6256 0.7511 0.2500  4 O 1.81-1.84, 2 F 1.98
O3 0.2777 0.0554 0.2500  3 Co 1.81-1.86
O4 0.8769 0.7537 0.0654  3 Co 1.81-1.84
F3 0.3734 0.7468 0.0329  3 Co 1.94-1.98
O5 0.7777 0.0554 0.2500  3 Co 1.81-1.86
O6 0.2223 0.9446 0.7500  3 Co 1.81-1.86
Co2 0.1255 0.2510 0.2234  5 O 1.81-1.86, 1 F 1.94
Co3 0.6255 0.2510 0.2766  5 O 1.81-1.86, 1 F 1.94
O7 0.4730 0.4461 0.2500  3 Co 1.82-1.85
O8 0.1231 0.2463 0.9346  3 Co 1.81-1.84
Co4 0.8745 0.7490 0.7766  5 O 1.81-1.86, 1 F 1.94
O9 0.3769 0.7537 0.4346  3 Co 1.81-1.84
O10 0.7223 0.9446 0.7500  3 Co 1.81-1.86
Co5 0.3744 0.2489 0.7500  4 O 1.81-1.84, 2 F 1.98
O11 0.6231 0.2463 0.5654  3 Co 1.81-1.84
Co6 0.3745 0.7490 0.7234  5 O 1.81-1.86, 1 F 1.94
Co7 0.8744 0.2489 0.7500  4 O 1.81-1.84, 2 F 1.98
F4 0.1266 0.2532 0.5329  3 Co 1.94-1.98
Co8 0.1256 0.7511 0.2500  4 O 1.81-1.84, 2 F 1.98
O12 0.5270 0.5539 0.7500  3 Co 1.82-1.85

Results
Polymorph energy (0 for the lowest one): 18 meV per atom
Energy relative to the elements, uncorrected: -1.1400 eV/atom
Calculated density: 5.7 g/cm3
Final energy: -160.0 eV for the cell shown


No. 10
Here is a relaxed structure of CoPO2F from Alexandria. Energies are from PBEsol.

a = 3.5973 Å, b = 3.5973 Å, c = 4.0092 Å
α = 90.00°, β = 90.00°, γ = 90.00°
Closest atoms and distances in Å follow each position.
Positions (direct):
F1 0.0000 0.0000 0.5000  2 P 2.00
O1 0.5000 0.0000 0.0000  2 P 1.80
O2 0.0000 0.5000 0.0000  2 P 1.80
P1 0.0000 0.0000 0.0000  4 O 1.80, 2 F 2.00
Co1 0.5000 0.5000 0.5000  4 F 2.54, 8 O 2.69

Results
Energy relative to the elements, uncorrected: -0.4184 eV/atom
Calculated density: 4.5 g/cm3
Final energy: -28.0 eV for the cell shown


No. 11
Here is a relaxed structure of CoPtOF2 from Alexandria. Energies are from PBEsol.

a = 3.8142 Å, b = 4.2635 Å, c = 4.2635 Å
α = 90.00°, β = 90.00°, γ = 90.00°
Closest atoms and distances in Å follow each position.
Positions (direct):
F1 0.0000 0.5000 0.0000  2 Pt 2.13
F2 0.0000 0.0000 0.5000  2 Pt 2.13
Co1 0.5000 0.5000 0.5000  8 F 2.86, 4 O 3.01
O1 0.5000 0.0000 0.0000  2 Pt 1.91
Pt1 0.0000 0.0000 0.0000  2 O 1.91, 4 F 2.13

Results
Polymorph energy (0 for the lowest one): 362 meV per atom
Energy relative to the elements, uncorrected: 0.0774 eV/atom
Calculated density: 7.4 g/cm3
Final energy: -23.4 eV for the cell shown


No. 12
Here is a relaxed structure of CoPtOF2 from Alexandria. Energies are from PBEsol.

a = 3.5655 Å, b = 3.9851 Å, c = 3.9851 Å
α = 90.00°, β = 90.00°, γ = 90.00°
Closest atoms and distances in Å follow each position.
Positions (direct):
F1 0.0000 0.5000 0.0000  2 Co 1.99
F2 0.0000 0.0000 0.5000  2 Co 1.99
Pt1 0.5000 0.5000 0.5000  8 F 2.67, 4 O 2.82
Co1 0.0000 0.0000 0.0000  2 O 1.78, 4 F 1.99
O1 0.5000 0.0000 0.0000  2 Co 1.78

Results
Polymorph energy (0 for the lowest one): 0 meV per atom
Energy relative to the elements, uncorrected: -0.2848 eV/atom
Calculated density: 9.0 g/cm3
Final energy: -25.2 eV for the cell shown